# MgNiB2P GGA-PBEsol relaxed
data_MgNiB2P
_cell_length_a 4.1189
_cell_length_b 4.1189
_cell_length_c 4.6764
_cell_angle_alpha 90.00
_cell_angle_beta 90.00
_cell_angle_gamma 90.00
_symmetry_space_group_name_H-M 'P 1'
_symmetry_Int_Tables_number 1
loop_
_symmetry_equiv_pos_as_xyz
'x,y,z'
loop_
_atom_site_label
_atom_site_fract_x
_atom_site_fract_y
_atom_site_fract_z
Mg1 0.0000 0.0000 0.0000
Ni1 0.5000 0.5000 0.5000
B1 0.0000 0.5000 0.0000
B2 0.5000 0.0000 0.0000
P1 0.0000 0.0000 0.5000
# Energy relative to the elements = 2.15 eV per atom
# Density of states at the Fermi level = 0.6663 states/eV/atom


# Mg2BO4 GGA-PBEsol relaxed
data_Mg2BO4
_cell_length_a 9.6351
_cell_length_b 3.0836
_cell_length_c 9.2936
_cell_angle_alpha 90.00
_cell_angle_beta 90.00
_cell_angle_gamma 90.00
_symmetry_space_group_name_H-M 'P 1'
_symmetry_Int_Tables_number 1
loop_
_symmetry_equiv_pos_as_xyz
'x,y,z'
loop_
_atom_site_label
_atom_site_fract_x
_atom_site_fract_y
_atom_site_fract_z
Mg1 0.1043 0.2500 0.1973
Mg2 0.1419 0.2500 0.5662
Mg3 0.3581 0.7500 0.0662
Mg4 0.3957 0.7500 0.6973
Mg5 0.6043 0.2500 0.3027
Mg6 0.6419 0.2500 0.9338
Mg7 0.8581 0.7500 0.4338
Mg8 0.8957 0.7500 0.8027
B1 0.1683 0.2500 0.8693
B2 0.3317 0.7500 0.3693
B3 0.6683 0.2500 0.6307
B4 0.8317 0.7500 0.1307
O1 0.0015 0.2500 0.3998
O2 0.0273 0.2500 0.8447
O3 0.2203 0.2500 0.0073
O4 0.2433 0.7500 0.2521
O5 0.2567 0.2500 0.7521
O6 0.2797 0.7500 0.5073
O7 0.4727 0.7500 0.3447
O8 0.4985 0.7500 0.8998
O9 0.5015 0.2500 0.1002
O10 0.5273 0.2500 0.6553
O11 0.7203 0.2500 0.4927
O12 0.7433 0.7500 0.2479
O13 0.7567 0.2500 0.7479
O14 0.7797 0.7500 0.9927
O15 0.9727 0.7500 0.1553
O16 0.9985 0.7500 0.6002
# E_form (uncorrected) = -16.6 eV/f.u.


# PrMgB5O10 GGA-PBEsol relaxed
data_PrMgB5O10
_cell_length_a 8.7185
_cell_length_b 7.6152
_cell_length_c 12.5495
_cell_angle_alpha 90.00
_cell_angle_beta 131.26
_cell_angle_gamma 90.00
_symmetry_space_group_name_H-M 'P 1'
_symmetry_Int_Tables_number 1
loop_
_symmetry_equiv_pos_as_xyz
'x,y,z'
loop_
_atom_site_label
_atom_site_fract_x
_atom_site_fract_y
_atom_site_fract_z
Pr1 0.0514 0.1887 0.2345
Pr2 0.0514 0.3113 0.7345
Pr3 0.9486 0.6887 0.2655
Pr4 0.9486 0.8113 0.7655
Mg1 0.4840 0.5883 0.8771
Mg2 0.4840 0.9117 0.3771
Mg3 0.5160 0.0883 0.6229
Mg4 0.5160 0.4117 0.1229
B1 0.0949 0.6711 0.6102
B2 0.0949 0.8289 0.1102
B3 0.1570 0.5952 0.0058
B4 0.1570 0.9048 0.5058
B5 0.2706 0.0321 0.0516
B6 0.2706 0.4679 0.5516
B7 0.3528 0.5821 0.2673
B8 0.3528 0.9179 0.7673
B9 0.4845 0.1872 0.9149
B10 0.4845 0.3128 0.4149
B11 0.5155 0.6872 0.5851
B12 0.5155 0.8128 0.0851
B13 0.6472 0.0821 0.2327
B14 0.6472 0.4179 0.7327
B15 0.7294 0.5321 0.4484
B16 0.7294 0.9679 0.9484
B17 0.8430 0.0952 0.4942
B18 0.8430 0.4048 0.9942
B19 0.9051 0.1711 0.8898
B20 0.9051 0.3289 0.3898
O1 0.0283 0.7229 0.9891
O2 0.0283 0.7771 0.4891
O3 0.0841 0.1035 0.9130
O4 0.0841 0.3965 0.4130
O5 0.1207 0.5386 0.8891
O6 0.1207 0.9614 0.3891
O7 0.2118 0.7203 0.2407
O8 0.2118 0.7797 0.7407
O9 0.2329 0.5234 0.6462
O10 0.2329 0.9766 0.1462
O11 0.3193 0.6288 0.5091
O12 0.3193 0.8712 0.0091
O13 0.3215 0.0814 0.8129
O14 0.3215 0.4186 0.3129
O15 0.3213 0.5364 0.1388
O16 0.3213 0.9636 0.6388
O17 0.4325 0.1501 0.4291
O18 0.4325 0.3499 0.9291
O19 0.4413 0.1537 0.1253
O20 0.4413 0.3463 0.6253
O21 0.5587 0.6537 0.3747
O22 0.5587 0.8463 0.8747
O23 0.5675 0.6501 0.0709
O24 0.5675 0.8499 0.5709
O25 0.6787 0.0364 0.3612
O26 0.6787 0.4636 0.8612
O27 0.6785 0.5814 0.6871
O28 0.6785 0.9186 0.1871
O29 0.6807 0.1288 0.9909
O30 0.6807 0.3712 0.4909
O31 0.7671 0.0234 0.8538
O32 0.7671 0.4766 0.3538
O33 0.7882 0.2203 0.2593
O34 0.7882 0.2797 0.7593
O35 0.8793 0.0386 0.6109
O36 0.8793 0.4614 0.1109
O37 0.9159 0.6035 0.5870
O38 0.9159 0.8965 0.0870
O39 0.9717 0.2229 0.5109
O40 0.9717 0.2771 0.0109
# E_form (uncorrected) = -46.5 eV/f.u.
# Density of states at the Fermi level = 0.0000 states/eV/atom


# MgScBO4 GGA-PBEsol relaxed
data_MgScBO4
_cell_length_a 3.2135
_cell_length_b 9.4405
_cell_length_c 9.4446
_cell_angle_alpha 90.00
_cell_angle_beta 90.00
_cell_angle_gamma 90.00
_symmetry_space_group_name_H-M 'P 1'
_symmetry_Int_Tables_number 1
loop_
_symmetry_equiv_pos_as_xyz
'x,y,z'
loop_
_atom_site_label
_atom_site_fract_x
_atom_site_fract_y
_atom_site_fract_z
Mg1 0.0000 0.0603 0.0000
Mg2 0.0000 0.3171 0.5213
Mg3 0.0000 0.6829 0.0213
Mg4 0.0000 0.9397 0.5000
Sc1 0.5000 0.1655 0.2938
Sc2 0.5000 0.4448 0.8020
Sc3 0.5000 0.5552 0.3020
Sc4 0.5000 0.8345 0.7938
B1 0.0000 0.3708 0.0742
B2 0.0000 0.6292 0.5742
B3 0.5000 0.1248 0.7263
B4 0.5000 0.8752 0.2263
O1 0.0000 0.1332 0.4132
O2 0.0000 0.2404 0.1368
O3 0.0000 0.3811 0.9275
O4 0.0000 0.4976 0.1515
O5 0.0000 0.5024 0.6515
O6 0.0000 0.6189 0.4275
O7 0.0000 0.7596 0.6368
O8 0.0000 0.8668 0.9132
O9 0.5000 0.0029 0.6421
O10 0.5000 0.1075 0.8702
O11 0.5000 0.2590 0.6644
O12 0.5000 0.3676 0.3875
O13 0.5000 0.6324 0.8875
O14 0.5000 0.7410 0.1644
O15 0.5000 0.8925 0.3702
O16 0.5000 0.9971 0.1421
# E_form (uncorrected) = -20.8 eV/f.u.
# Density of states at the Fermi level = 0.0000 states/eV/atom


# SrMgB2O5 GGA-PBEsol relaxed
data_SrMgB2O5
_cell_length_a 6.4254
_cell_length_b 5.3387
_cell_length_c 12.0417
_cell_angle_alpha 90.00
_cell_angle_beta 102.33
_cell_angle_gamma 90.00
_symmetry_space_group_name_H-M 'P 1'
_symmetry_Int_Tables_number 1
loop_
_symmetry_equiv_pos_as_xyz
'x,y,z'
loop_
_atom_site_label
_atom_site_fract_x
_atom_site_fract_y
_atom_site_fract_z
Sr1 0.1851 0.1100 0.1911
Sr2 0.1851 0.3900 0.6911
Sr3 0.8149 0.6100 0.3089
Sr4 0.8149 0.8900 0.8089
Mg1 0.3473 0.5853 0.3944
Mg2 0.3473 0.9147 0.8944
Mg3 0.6527 0.0853 0.1056
Mg4 0.6527 0.4147 0.6056
B1 0.1812 0.0904 0.4316
B2 0.1812 0.4096 0.9316
B3 0.3556 0.6320 0.1169
B4 0.3556 0.8680 0.6169
B5 0.6444 0.1320 0.3831
B6 0.6444 0.3680 0.8831
B7 0.8188 0.5904 0.0684
B8 0.8188 0.9096 0.5684
O1 0.1256 0.1815 0.8828
O2 0.1256 0.3185 0.3828
O3 0.1503 0.6236 0.8687
O4 0.1503 0.8764 0.3687
O5 0.2827 0.0830 0.5487
O6 0.2827 0.4170 0.0487
O7 0.3809 0.5995 0.2305
O8 0.3809 0.9005 0.7305
O9 0.3960 0.6485 0.5663
O10 0.3960 0.8515 0.0663
O11 0.6040 0.1485 0.9337
O12 0.6040 0.3515 0.4337
O13 0.6191 0.0995 0.2695
O14 0.6191 0.4005 0.7695
O15 0.7173 0.5830 0.9513
O16 0.7173 0.9170 0.4513
O17 0.8497 0.1236 0.6313
O18 0.8497 0.3764 0.1313
O19 0.8744 0.6815 0.6172
O20 0.8744 0.8185 0.1172
# E_form (uncorrected) = -24.8 eV/f.u.
# Density of states at the Fermi level = 0.0000 states/eV/atom


# Mg2TiBO5 GGA-PBEsol relaxed
data_Mg2TiBO5
_cell_length_a 9.3269
_cell_length_b 12.3777
_cell_length_c 3.0016
_cell_angle_alpha 90.00
_cell_angle_beta 90.00
_cell_angle_gamma 90.00
_symmetry_space_group_name_H-M 'P 1'
_symmetry_Int_Tables_number 1
loop_
_symmetry_equiv_pos_as_xyz
'x,y,z'
loop_
_atom_site_label
_atom_site_fract_x
_atom_site_fract_y
_atom_site_fract_z
Mg1 0.0000 0.0000 0.0000
Mg2 0.0000 0.5000 0.5000
Mg3 0.0026 0.2186 0.5000
Mg4 0.4974 0.7186 0.5000
Mg5 0.5000 0.0000 0.5000
Mg6 0.5000 0.5000 0.0000
Mg7 0.5026 0.2814 0.5000
Mg8 0.9974 0.7814 0.5000
Ti1 0.2407 0.3849 0.0000
Ti2 0.2593 0.8849 0.0000
Ti3 0.7407 0.1151 0.0000
Ti4 0.7593 0.6151 0.0000
B1 0.2267 0.6396 0.0000
B2 0.2733 0.1396 0.0000
B3 0.7267 0.8604 0.0000
B4 0.7733 0.3604 0.0000
O1 0.1057 0.3573 0.5000
O2 0.1155 0.9234 0.5000
O3 0.1255 0.1419 0.0000
O4 0.1504 0.5426 0.0000
O5 0.1502 0.7365 0.0000
O6 0.3496 0.0426 0.0000
O7 0.3498 0.2365 0.0000
O8 0.3745 0.6419 0.0000
O9 0.3845 0.4234 0.5000
O10 0.3943 0.8573 0.5000
O11 0.6057 0.1427 0.5000
O12 0.6155 0.5766 0.5000
O13 0.6255 0.3581 0.0000
O14 0.6502 0.7635 0.0000
O15 0.6504 0.9574 0.0000
O16 0.8498 0.2635 0.0000
O17 0.8496 0.4574 0.0000
O18 0.8745 0.8581 0.0000
O19 0.8845 0.0766 0.5000
O20 0.8943 0.6427 0.5000
# E_form (uncorrected) = -24.6 eV/f.u.
# Density of states at the Fermi level = 0.2434 states/eV/atom


# MgUB2O7 GGA-PBEsol relaxed
data_MgUB2O7
_cell_length_a 7.3242
_cell_length_b 9.7955
_cell_length_c 7.9097
_cell_angle_alpha 90.00
_cell_angle_beta 90.00
_cell_angle_gamma 90.00
_symmetry_space_group_name_H-M 'P 1'
_symmetry_Int_Tables_number 1
loop_
_symmetry_equiv_pos_as_xyz
'x,y,z'
loop_
_atom_site_label
_atom_site_fract_x
_atom_site_fract_y
_atom_site_fract_z
Mg1 0.2341 0.0482 0.2500
Mg2 0.2341 0.4518 0.7500
Mg3 0.7659 0.5482 0.2500
Mg4 0.7659 0.9518 0.7500
U1 0.2233 0.0516 0.7500
U2 0.2233 0.4484 0.2500
U3 0.7767 0.5516 0.7500
U4 0.7767 0.9484 0.2500
B1 0.1299 0.7409 0.2500
B2 0.1299 0.7591 0.7500
B3 0.4708 0.7114 0.7500
B4 0.4708 0.7886 0.2500
B5 0.5292 0.2114 0.7500
B6 0.5292 0.2886 0.2500
B7 0.8701 0.2409 0.2500
B8 0.8701 0.2591 0.7500
O1 0.0213 0.6290 0.2500
O2 0.0213 0.8710 0.7500
O3 0.0724 0.6285 0.7500
O4 0.0724 0.8715 0.2500
O5 0.2269 0.0486 0.5184
O6 0.2269 0.0486 0.9816
O7 0.2269 0.4514 0.0184
O8 0.2269 0.4514 0.4816
O9 0.3177 0.7024 0.2500
O10 0.3177 0.7976 0.7500
O11 0.3570 0.2351 0.2500
O12 0.3570 0.2649 0.7500
O13 0.4586 0.5724 0.7500
O14 0.4586 0.9276 0.2500
O15 0.5414 0.0724 0.7500
O16 0.5414 0.4276 0.2500
O17 0.6430 0.7351 0.2500
O18 0.6430 0.7649 0.7500
O19 0.6823 0.2024 0.2500
O20 0.6823 0.2976 0.7500
O21 0.7731 0.5486 0.5184
O22 0.7731 0.5486 0.9816
O23 0.7731 0.9514 0.0184
O24 0.7731 0.9514 0.4816
O25 0.9276 0.1285 0.7500
O26 0.9276 0.3715 0.2500
O27 0.9787 0.1290 0.2500
O28 0.9787 0.3710 0.7500
# E_form (uncorrected) = -30.1 eV/f.u.
# Density of states at the Fermi level = 0.0000 states/eV/atom


# MgB4Os3 GGA-PBEsol relaxed
data_MgB4Os3
_cell_length_a 6.0878
_cell_length_b 6.0878
_cell_length_c 9.7497
_cell_angle_alpha 90.00
_cell_angle_beta 90.00
_cell_angle_gamma 152.44
_symmetry_space_group_name_H-M 'P 1'
_symmetry_Int_Tables_number 1
loop_
_symmetry_equiv_pos_as_xyz
'x,y,z'
loop_
_atom_site_label
_atom_site_fract_x
_atom_site_fract_y
_atom_site_fract_z
Mg1 0.0000 0.0000 0.0000
Mg2 0.0000 0.0000 0.5000
B1 0.1238 0.8762 0.7500
B2 0.1542 0.8458 0.2500
B3 0.3408 0.6592 0.6107
B4 0.3408 0.6592 0.8893
B5 0.6592 0.3408 0.1107
B6 0.6592 0.3408 0.3893
B7 0.8458 0.1542 0.7500
B8 0.8762 0.1238 0.2500
Os1 0.3006 0.6994 0.1071
Os2 0.3006 0.6994 0.3929
Os3 0.4841 0.5159 0.7500
Os4 0.5159 0.4841 0.2500
Os5 0.6994 0.3006 0.6071
Os6 0.6994 0.3006 0.8929
# Energy relative to the elements = -0.26 eV per atom
# Density of states at the Fermi level = 0.3646 states/eV/atom